Compound: LiDyAsRh
Source: the Alexandria database
Functional: PBE
Structure: optimized geometry

Cell lengths 6.4324, 6.4324, 6.4324 Å; angles 90.00, 90.00, 90.00 degrees
Space group F-43m (No. 216)
Inequivalent atoms, fractional coordinates:
Li1 0.0000 0.0000 0.0000
Dy1 0.2500 0.2500 0.2500
As1 0.2500 0.2500 0.7500
Rh1 0.0000 0.0000 0.5000

Computed properties:
- E_form: -792 meV/atom
- V: 266.1 Å³ per cell
- Raw total energy: -86.74 eV per cell